No. 1
! GGA-PBE NdY2Au, optimized geometry; values from VASP
! DOS(E_F) = 5.95 states/eV/f.u.
! polymorph energy (0 for the lowest one) = 0.0306 eV per atom
! ΔH_f (0 K) = -0.404 eV per atom
&SYSTEM
  ibrav = 0, nat = 4, ntyp = 3
/
ATOMIC_SPECIES
Nd 144.24 Nd.upf
Y 88.91 Y.upf
Au 196.97 Au.upf
ATOMIC_POSITIONS crystal
Nd 0.0000 0.0000 0.0000
Y 0.5000 0.5000 0.2988
Y 0.5000 0.5000 0.7012
Au 0.0000 0.0000 0.5000
CELL_PARAMETERS angstrom
3.6451 0.0000 0.0000
0.0000 3.6451 0.0000
0.0000 0.0000 8.6427



No. 2
! GGA-PBE BiP2Pd8, optimized geometry; values from VASP
! DOS(E_F) = 5.28 states/eV/f.u.
! polymorph energy (0 for the lowest one) = 0.0000 eV per atom
! ΔH_f (0 K) = -0.404 eV per atom
&SYSTEM
  ibrav = 0, nat = 11, ntyp = 3
/
ATOMIC_SPECIES
Bi 208.98 Bi.upf
P 30.97 P.upf
Pd 106.42 Pd.upf
ATOMIC_POSITIONS crystal
Bi 0.0000 0.0000 0.0000
P 0.3215 0.6785 0.5000
P 0.6785 0.3215 0.5000
Pd 0.0626 0.3314 0.5943
Pd 0.2547 0.7453 0.0000
Pd 0.3314 0.0626 0.5943
Pd 0.3901 0.3901 0.1996
Pd 0.6099 0.6099 0.8004
Pd 0.6686 0.9374 0.4057
Pd 0.7453 0.2547 0.0000
Pd 0.9374 0.6686 0.4057
CELL_PARAMETERS angstrom
3.7220 -5.4784 0.0000
3.7220 5.4784 0.0000
-1.0888 0.0000 4.3673



No. 3
! GGA-PBE AcHoGa2Ir2, optimized geometry; values from VASP
! DOS(E_F) = 3.92 states/eV/f.u.
! ΔH_f (0 K) = -0.769 eV per atom
&SYSTEM
  ibrav = 0, nat = 6, ntyp = 4
/
ATOMIC_SPECIES
Ac 227.00 Ac.upf
Ho 164.93 Ho.upf
Ga 69.72 Ga.upf
Ir 192.22 Ir.upf
ATOMIC_POSITIONS crystal
Ac 0.0000 0.0000 0.0000
Ho 0.0000 0.0000 0.5000
Ga 0.3333 0.6667 0.2924
Ga 0.6667 0.3333 0.7076
Ir 0.3333 0.6667 0.7125
Ir 0.6667 0.3333 0.2875
CELL_PARAMETERS angstrom
4.4400 0.0000 0.0000
-2.2200 3.8452 0.0000
0.0000 0.0000 7.6404



No. 4
! GGA-PBE TiSi2Ni9, optimized geometry; values from VASP
! DOS(E_F) = 5.35 states/eV/f.u.
! raw total energy = -6.36 eV per atom
&SYSTEM
  ibrav = 0, nat = 12, ntyp = 3
/
ATOMIC_SPECIES
Ti 47.87 Ti.upf
Si 28.09 Si.upf
Ni 58.69 Ni.upf
ATOMIC_POSITIONS crystal
Ti 0.0000 0.0000 0.0000
Si 0.0000 0.0000 0.3362
Si 0.0000 0.0000 0.6638
Ni 0.0000 0.5000 0.1738
Ni 0.0000 0.5000 0.5000
Ni 0.0000 0.5000 0.8262
Ni 0.5000 0.0000 0.1738
Ni 0.5000 0.0000 0.5000
Ni 0.5000 0.0000 0.8262
Ni 0.5000 0.5000 0.0000
Ni 0.5000 0.5000 0.3376
Ni 0.5000 0.5000 0.6624
CELL_PARAMETERS angstrom
3.5529 0.0000 0.0000
0.0000 3.5529 0.0000
0.0000 0.0000 10.5394



No. 5
! GGA-PBE CeTeCl, optimized geometry; values from VASP
! DOS(E_F) = 4.98 states/eV/f.u.
! polymorph energy (0 for the lowest one) = 0.2602 eV per atom
&SYSTEM
  ibrav = 0, nat = 6, ntyp = 3
/
ATOMIC_SPECIES
Ce 140.12 Ce.upf
Te 127.60 Te.upf
Cl 35.45 Cl.upf
ATOMIC_POSITIONS crystal
Ce 0.0000 0.0000 0.0000
Ce 0.5000 0.5000 0.5000
Te 0.0000 0.0000 0.3351
Te 0.5000 0.5000 0.8351
Cl 0.0000 0.0000 0.6282
Cl 0.5000 0.5000 0.1282
CELL_PARAMETERS angstrom
3.8669 0.0000 0.0000
0.0000 3.8669 0.0000
0.0000 0.0000 10.8776



No. 6
! GGA-PBE La3HfZn, optimized geometry; values from VASP
! DOS(E_F) = 11.49 states/eV/f.u.
! polymorph energy (0 for the lowest one) = 0.0066 eV per atom
! ΔH_f (0 K) = 0.613 eV per atom
&SYSTEM
  ibrav = 0, nat = 5, ntyp = 3
/
ATOMIC_SPECIES
La 138.91 La.upf
Hf 178.49 Hf.upf
Zn 65.41 Zn.upf
ATOMIC_POSITIONS crystal
La 0.0000 0.0000 0.5000
La 0.0000 0.5000 0.0000
La 0.5000 0.0000 0.0000
Hf 0.5000 0.5000 0.5000
Zn 0.0000 0.0000 0.0000
CELL_PARAMETERS angstrom
5.6238 0.0000 0.0000
0.0000 5.6238 0.0000
0.0000 0.0000 5.6238



No. 7
! GGA-PBE NpZnHg, optimized geometry; values from VASP
! DOS(E_F) = 5.70 states/eV/f.u.
! polymorph energy (0 for the lowest one) = 0.1103 eV per atom
! ΔH_f (0 K) = 0.171 eV per atom
&SYSTEM
  ibrav = 0, nat = 6, ntyp = 3
/
ATOMIC_SPECIES
Np 237.00 Np.upf
Zn 65.41 Zn.upf
Hg 200.59 Hg.upf
ATOMIC_POSITIONS crystal
Np 0.0000 0.0000 0.0000
Np 0.5000 0.5000 0.5000
Zn 0.0000 0.0000 0.6635
Zn 0.5000 0.5000 0.1635
Hg 0.0000 0.0000 0.3137
Hg 0.5000 0.5000 0.8137
CELL_PARAMETERS angstrom
3.0506 0.0000 0.0000
0.0000 3.0506 0.0000
0.0000 0.0000 13.5242



No. 8
! GGA-PBE AlICl6, optimized geometry; values from VASP
! DOS(E_F) = 0.00 states/eV/f.u.
! raw total energy = -2.91 eV per atom
&SYSTEM
  ibrav = 0, nat = 16, ntyp = 3
/
ATOMIC_SPECIES
Al 26.98 Al.upf
I 126.90 I.upf
Cl 35.45 Cl.upf
ATOMIC_POSITIONS crystal
Al 0.0874 0.0000 0.4960
Al 0.9126 0.5000 0.5040
I 0.4934 0.8516 0.2016
I 0.5066 0.3516 0.7984
Cl 0.1449 0.1096 0.2911
Cl 0.2121 0.8326 0.4476
Cl 0.2133 0.0500 0.7635
Cl 0.2551 0.3772 0.9846
Cl 0.2563 0.4779 0.5143
Cl 0.2614 0.7409 0.9949
Cl 0.7386 0.2409 0.0051
Cl 0.7437 0.9779 0.4857
Cl 0.7449 0.8772 0.0154
Cl 0.7867 0.5500 0.2365
Cl 0.7879 0.3326 0.5524
Cl 0.8551 0.6096 0.7089
CELL_PARAMETERS angstrom
6.4374 0.0000 0.0000
0.0000 12.0405 0.0000
-1.4340 0.0000 7.4276



| no. | density (g cm⁻³) |
| --- | --- |
| 1 | 7.51 |
| 2 | 10.46 |
| 3 | 11.66 |
| 4 | 7.89 |
| 5 | 6.19 |
| 6 | 6.17 |
| 7 | 13.27 |
| 8 | 2.11 |